# TlMoPOsRu | the Alexandria database | PBE | relaxed
data_TlMoPOsRu
_cell_length_a 8.7001
_cell_length_b 2.9953
_cell_length_c 7.2749
_cell_angle_alpha 90.00
_cell_angle_beta 101.07
_cell_angle_gamma 90.00
_symmetry_space_group_name_H-M 'C 1 m 1'
_symmetry_Int_Tables_number 8
_symmetry_space_group_name_Hall 'C -2y'
loop_
_atom_site_label
_atom_site_fract_x
_atom_site_fract_y
_atom_site_fract_z
Tl1 0.0000 0.0000 0.0000
Mo1 0.3566 0.0000 0.2805
P1 0.2482 0.0000 0.6320
Os1 0.1511 0.5000 0.3814
Ru1 0.4629 0.5000 0.6047
# Energy relative to the elements, eV/atom: 0.242
# Total magnetization, Bohr magnetons per cell: 0.000
# Energy above the most stable polymorph in this dataset, eV per formula unit: 0.927
# D(E_F), states/eV/cell: 8.14
# Crystal system: monoclinic